Entry 1:
This record from Alexandria via LeMat-Bulk describes crystalline TlVSeCl2 at its relaxed geometry. The functional is PBE-GGA.

Values from the calculation:
Energy relative to the elements, uncorrected (eV per formula unit): 1.4
Excess energy over the best structure of this formula in the dataset (meV per atom): 1064
Space group: P4/mmm

Cell: 5.254 5.530 5.254 Å, 90.00 90.00 90.00°
Last column: magnetic moment on the atom in μB.
Element x y z (fractional)
Cl 0.000 0.000 0.500  0.00
Cl 0.500 0.000 0.000  0.01
V 0.500 0.500 0.500  3.11
Tl 0.000 0.000 0.000  0.02
Se 0.000 0.500 0.000  -0.12

***

Entry 2:
This record from Alexandria via LeMat-Bulk describes crystalline Ce2SmSn9 at its relaxed geometry. The functional is PBE-GGA.

Values from the calculation:
Space group: P4/mmm
Energy relative to the elements (eV/f.u.): -6.2

Cell: 4.727 4.727 14.184 Å, 90.00 90.00 90.00°
Last column: magnetic moment on the atom in μB.
Element x y z (fractional)
Sn 0.000 0.500 0.168  0.00
Sn 0.500 0.000 0.500  0.00
Sn 0.500 0.000 0.832  0.00
Sn 0.500 0.500 0.334  0.00
Sn 0.000 0.500 0.500  0.00
Sn 0.500 0.500 0.666  0.00
Sn 0.500 0.500 0.000  0.00
Sn 0.500 0.000 0.168  0.00
Sn 0.000 0.500 0.832  0.00
Ce 0.000 0.000 0.664  0.32
Ce 0.000 0.000 0.336  0.32
Sm 0.000 0.000 0.000  0.00

***

Entry 3:
This record from Alexandria via LeMat-Bulk describes crystalline Li3NdPt at its relaxed geometry. The functional is PBE-GGA.

Values from the calculation:
Space group: Amm2
Energy relative to the elements (eV/f.u.): -1.4

Cell: 4.751 5.026 5.235 Å, 118.69 90.00 90.00°
Element x y z (fractional)
Li 0.500 0.719 0.437
Li 0.000 0.553 0.105
Li 0.000 0.280 0.560
Nd 0.500 0.033 0.067
Pt 0.500 0.376 0.752

***

Entry 4:
This record from Alexandria via LeMat-Bulk describes crystalline CdAg5Pt at its relaxed geometry. The functional is PBE-GGA.

Values from the calculation:
Space group: C2/c
Energy relative to the elements (eV/f.u.): 2.7

Cell: 6.829 6.829 9.920 Å, 61.84 61.84 70.92°
Element x y z (fractional)
Ag 0.717 0.382 0.456
Ag 0.843 0.631 0.773
Ag 0.283 0.618 0.544
Ag 0.157 0.369 0.227
Ag 0.618 0.283 0.044
Ag 0.136 0.864 0.750
Ag 0.631 0.843 0.273
Ag 0.864 0.136 0.250
Ag 0.369 0.157 0.727
Ag 0.382 0.717 0.956
Cd 0.470 0.530 0.250
Cd 0.530 0.470 0.750
Pt 0.000 0.000 0.500
Pt 0.000 0.000 0.000

***

Entry 5:
This record from Alexandria via LeMat-Bulk describes crystalline MnFeCoAs2 at its relaxed geometry. The functional is PBE-GGA.

Values from the calculation:
Space group: P4/mmm
Energy relative to the elements (eV/f.u.): 5.5

Cell: 4.404 4.366 4.404 Å, 90.00 90.00 90.00°
Last column: magnetic moment on the atom in μB.
Element x y z (fractional)
As 0.000 0.000 0.500  -0.02
As 0.500 0.000 0.000  -0.01
Fe 0.000 0.000 0.000  -1.07
Co 0.000 0.500 0.000  -1.78
Mn 0.500 0.500 0.500  0.06

***

Entry 6:
This record from Alexandria via LeMat-Bulk describes crystalline FeSbAs at its relaxed geometry. The functional is PBE-GGA.

Values from the calculation:
Energy relative to the elements, uncorrected (eV per formula unit): 0.3
Excess energy over the best structure of this formula in the dataset (meV per atom): 223
Space group: P3m1

Cell: 3.400 3.400 5.622 Å, 90.00 90.00 120.00°
Last column: magnetic moment on the atom in μB.
Element x y z (fractional)
Fe 0.333 0.667 0.310  1.65
As 0.000 0.000 0.064  -0.06
Sb 0.667 0.333 0.626  -0.04

***

Entry 7:
This record from Alexandria via LeMat-Bulk describes crystalline TiNb3Ni at its relaxed geometry. The functional is PBE-GGA.

Values from the calculation:
Excess energy over the best structure of this formula in the dataset (meV per atom): 611
Space group: Pm-3m
Energy relative to the elements (eV/f.u.): 7.1

Cell: 4.636 4.636 4.636 Å, 90.00 90.00 90.00°
Last column: magnetic moment on the atom in μB.
Element x y z (fractional)
Nb 0.000 0.500 0.000  0.02
Nb 0.500 0.000 0.000  0.03
Nb 0.000 0.000 0.500  0.02
Ti 0.000 0.000 0.000  -0.03
Ni 0.500 0.500 0.500  0.26

***

Entry 8:
This record from Alexandria via LeMat-Bulk describes crystalline Li2AuSe at its relaxed geometry. The functional is PBE-GGA.

Values from the calculation:
Energy relative to the elements, uncorrected (eV per formula unit): -2.5
Excess energy over the best structure of this formula in the dataset (meV per atom): 53
Space group: Pmm2

Cell: 2.860 4.377 5.623 Å, 90.00 90.00 90.00°
Element x y z (fractional)
Li 0.000 0.000 0.950
Li 0.500 0.500 0.305
Au 0.500 0.500 0.829
Se 0.000 0.000 0.416

***

Entry 9:
This record from Alexandria via LeMat-Bulk describes crystalline La3Pr5Nd4 at its relaxed geometry. The functional is PBE-GGA.

Values from the calculation:
Excess energy over the best structure of this formula in the dataset (meV per atom): 176
Space group: C2/m
Energy relative to the elements (eV/f.u.): 2.3

Cell: 6.156 8.882 10.002 Å, 106.24 72.08 69.72°
Last column: magnetic moment on the atom in μB.
Element x y z (fractional)
Nd 0.837 0.954 0.372  0.00
Nd 0.857 0.224 0.062  0.00
Nd 0.143 0.776 0.938  0.00
Nd 0.163 0.046 0.628  0.00
Pr 0.375 0.050 0.199  0.00
Pr 0.500 0.500 0.500  0.06
Pr 0.220 0.453 0.107  0.00
Pr 0.780 0.547 0.893  0.00
Pr 0.625 0.950 0.801  0.00
La 0.488 0.306 0.718  0.00
La 0.000 0.500 0.500  0.06
La 0.512 0.694 0.282  0.00

***

How do the records compare in M_tot? In the order shown, they have 0.70 0.06 0.00 0.00 0.57 0.49 0.06 0.00 0.02 μB/atom.
How do the records compare in uncorrected energy? In the order shown, they have -17.3 -58.8 -17.9 -37.0 -28.5 -17.0 -36.8 -13.1 -55.5 eV/cell.